Entry 1:
{
  "formula": "PrBe6Au12",
  "functional": "PBE",
  "state": "optimized geometry",
  "volume_a3_per_atom": 16.34,
  "e_form_ev_per_atom": -0.19,
  "lattice_angstrom": [[7.071, -0.027, -0.037], [-1.778, 6.843, -0.037], [-1.778, -2.291, 6.449]],
  "species": ["Pr", "Be", "Be", "Be", "Be", "Be", "Be", "Au", "Au", "Au", "Au", "Au", "Au", "Au", "Au", "Au", "Au", "Au", "Au"],
  "frac_coords": [[0.000, 0.000, 0.000], [0.683, 0.242, 0.242], [0.242, 0.242, 0.683], [0.242, 0.683, 0.242], [0.758, 0.758, 0.317], [0.317, 0.758, 0.758], [0.758, 0.317, 0.758], [0.874, 0.126, 0.500], [0.824, 0.564, 0.564], [0.564, 0.564, 0.824], [0.436, 0.176, 0.436], [0.436, 0.436, 0.176], [0.176, 0.436, 0.436], [0.126, 0.500, 0.874], [0.500, 0.874, 0.126], [0.126, 0.874, 0.500], [0.874, 0.500, 0.126], [0.500, 0.126, 0.874], [0.564, 0.824, 0.564]]
}

=====

Entry 2:
{
  "formula": "K3ScFe",
  "functional": "PBE",
  "state": "optimized geometry",
  "volume_a3_per_atom": 49.74,
  "e_form_ev_per_atom": 1.25,
  "lattice_angstrom": [[6.289, 0.000, 0.000], [0.000, 6.289, 0.000], [0.000, 0.000, 6.289]],
  "species": ["Sc", "K", "K", "K", "Fe"],
  "frac_coords": [[0.500, 0.500, 0.500], [0.000, 0.500, 0.000], [0.000, 0.000, 0.500], [0.500, 0.000, 0.000], [0.000, 0.000, 0.000]]
}

=====

Entry 3:
{
  "formula": "Hf2Pd3Au3",
  "functional": "PBE",
  "state": "optimized geometry",
  "volume_a3_per_atom": 18.43,
  "e_form_ev_per_atom": -0.49,
  "lattice_angstrom": [[-2.265, -4.084, 0.869], [2.457, 2.247, 3.985], [-11.172, 6.840, 3.032]],
  "species": ["Hf", "Hf", "Hf", "Hf", "Pd", "Pd", "Pd", "Pd", "Pd", "Pd", "Au", "Au", "Au", "Au", "Au", "Au"],
  "frac_coords": [[0.760, 0.521, 0.894], [0.240, 0.479, 0.394], [0.760, 0.521, 0.606], [0.240, 0.479, 0.106], [0.603, 0.206, 0.431], [0.397, 0.794, 0.931], [0.603, 0.206, 0.069], [0.397, 0.794, 0.569], [0.438, 0.875, 0.250], [0.562, 0.125, 0.750], [0.920, 0.841, 0.413], [0.080, 0.159, 0.913], [0.920, 0.841, 0.087], [0.080, 0.159, 0.587], [0.748, 0.495, 0.250], [0.252, 0.505, 0.750]]
}